A relaxed Zr2BeP crystal, computed with PBE-GGA.

a = 6.430 Å, b = 6.430 Å, c = 6.430 Å
α = 90.00°, β = 90.00°, γ = 90.00°
Space group Fm-3m (No. 225)
Inequivalent atoms, fractional coordinates:
Zr1 0.250 0.250 0.250 x8
Be1 0.000 0.000 0.000 x4
P1 0.000 0.000 0.500 x4

A relaxed ZrBeP2 crystal, computed with PBE-GGA.

a = 3.359 Å, b = 3.359 Å, c = 5.150 Å
α = 90.00°, β = 90.00°, γ = 90.00°
Space group P4/mmm (No. 123)
Inequivalent atoms, fractional coordinates:
Zr1 0.000 0.000 0.000 x1
Be1 0.000 0.000 0.500 x1
P1 0.500 0.500 0.279 x2

A relaxed Zr2BeP crystal, computed with PBE-GGA.

a = 5.849 Å, b = 7.145 Å, c = 3.226 Å
α = 90.00°, β = 98.56°, γ = 90.00°
Space group C2/m (No. 12)
Inequivalent atoms, fractional coordinates:
Zr1 0.250 0.250 0.000 x4
Be1 0.000 0.000 0.500 x2
P1 0.000 0.500 0.500 x2

A relaxed ZrBeP2 crystal, computed with PBE-GGA.

a = 3.495 Å, b = 3.714 Å, c = 5.428 Å
α = 90.00°, β = 108.70°, γ = 90.00°
Space group Pm (No. 6)
Inequivalent atoms, fractional coordinates:
Zr1 0.000 0.000 0.000 x1
Be1 0.633 0.500 0.268 x1
P1 0.428 0.500 0.856 x1
P2 0.722 0.000 0.443 x1

A relaxed ZrBeP crystal, computed with PBE-GGA.

a = 3.766 Å, b = 5.225 Å, c = 9.260 Å
α = 90.00°, β = 90.00°, γ = 90.00°
Space group Fmm2 (No. 42)
Inequivalent atoms, fractional coordinates:
Zr1 0.000 0.000 0.000 x4
Be1 0.000 0.000 0.306 x4
P1 0.000 0.000 0.696 x4

A relaxed ZrBeP2 crystal, computed with PBE-GGA.

a = 5.786 Å, b = 5.997 Å, c = 3.433 Å
α = 90.00°, β = 90.13°, γ = 90.00°
Space group C2/m (No. 12)
Inequivalent atoms, fractional coordinates:
Zr1 0.000 0.000 0.000 x2
Be1 0.000 0.500 0.000 x2
P1 0.250 0.250 0.500 x4

A relaxed Zr2BeP crystal, computed with PBE-GGA.

a = 6.960 Å, b = 6.960 Å, c = 5.880 Å
α = 90.00°, β = 90.00°, γ = 90.00°
Space group I-42d (No. 122)
Inequivalent atoms, fractional coordinates:
Zr1 0.249 0.250 0.125 x8
Be1 0.000 0.000 0.500 x4
P1 0.000 0.000 0.000 x4

A relaxed Zr2BeP crystal, computed with PBE-GGA.

a = 3.6387 Å, b = 3.6387 Å, c = 18.6280 Å
α = 90.00°, β = 90.00°, γ = 120.00°
Space group R-3m (No. 166, hexagonal axes)
Inequivalent atoms, fractional coordinates:
Zr1 0.0000 0.0000 0.2489 x6
Be1 0.0000 0.0000 0.0000 x3
P1 0.0000 0.0000 0.5000 x3

A relaxed ZrBeP2 crystal, computed with PBE-GGA.

a = 3.455 Å, b = 3.461 Å, c = 10.476 Å
α = 90.00°, β = 90.00°, γ = 90.00°
Space group Imm2 (No. 44)
Inequivalent atoms, fractional coordinates:
Zr1 0.000 0.000 0.000 x2
Be1 0.000 0.500 0.263 x2
P1 0.000 0.000 0.588 x2
P2 0.000 0.500 0.811 x2

A relaxed Zr2BeP crystal, computed with PBE-GGA.

a = 3.703 Å, b = 3.703 Å, c = 5.208 Å
α = 90.00°, β = 90.00°, γ = 90.00°
Space group P4/mmm (No. 123)
Inequivalent atoms, fractional coordinates:
Zr1 0.000 0.000 0.000 x1
Zr2 0.500 0.500 0.500 x1
Be1 0.000 0.000 0.500 x1
P1 0.500 0.500 0.000 x1

A relaxed ZrBe3P crystal, computed with PBE-GGA.

a = 4.097 Å, b = 4.097 Å, c = 4.097 Å
α = 90.00°, β = 90.00°, γ = 90.00°
Space group Pm-3m (No. 221)
Inequivalent atoms, fractional coordinates:
Zr1 0.000 0.000 0.000 x1
Be1 0.000 0.500 0.500 x3
P1 0.500 0.500 0.500 x1

A relaxed ZrBeP2 crystal, computed with PBE-GGA.

a = 3.515 Å, b = 4.887 Å, c = 7.067 Å
α = 90.00°, β = 90.00°, γ = 90.00°
Space group Immm (No. 71)
Inequivalent atoms, fractional coordinates:
Zr1 0.000 0.000 0.000 x2
Be1 0.000 0.000 0.500 x2
P1 0.000 0.500 0.195 x4

Number 1: calculated total energy -110.0 eV/cell, calculated volume 265.9 Å³/cell, formation energy -0.317 eV/atom. Number 2: calculated total energy -24.7 eV/cell, calculated volume 58.1 Å³/cell, formation energy -0.411 eV/atom. Number 3: calculated total energy -56.0 eV/cell, calculated volume 133.3 Å³/cell, formation energy -0.442 eV/atom. Number 4: calculated total energy -25.5 eV/cell, calculated volume 66.7 Å³/cell, formation energy -0.593 eV/atom. Number 5: calculated total energy -75.6 eV/cell, calculated volume 182.2 Å³/cell, formation energy -0.405 eV/atom. Number 6: calculated total energy -48.5 eV/cell, calculated volume 119.1 Å³/cell, formation energy -0.292 eV/atom. Number 7: calculated total energy -110.2 eV/cell, calculated volume 284.8 Å³/cell, formation energy -0.332 eV/atom. Number 8: calculated total energy -86.9 eV/cell, calculated volume 213.6 Å³/cell, formation energy -0.684 eV/atom. Number 9: calculated total energy -49.1 eV/cell, calculated volume 125.3 Å³/cell, formation energy -0.369 eV/atom. Number 10: calculated total energy -28.8 eV/cell, calculated volume 71.4 Å³/cell, formation energy -0.645 eV/atom. Number 11: calculated total energy -22.9 eV/cell, calculated volume 68.8 Å³/cell, formation energy 0.456 eV/atom. Number 12: calculated total energy -48.9 eV/cell, calculated volume 121.4 Å³/cell, formation energy -0.343 eV/atom.